Entry from Alexandria via LeMat-Bulk: crystalline Sc5InPt6 at its relaxed geometry (PBE).

Values from the calculation:
The crystal system is orthorhombic. The density of states at the Fermi level is 0.50 states/eV per atom. Its energy of formation from the pure elements is -1.152 eV per atom.

Cell and atoms, written as POSCAR:
```
Sc5InPt6
1.0
4.483 0.019 -1.308
-0.906 5.797 -3.019
-0.077 0.439 8.077
Pt Sc In
6 5 1
direct
0.827 0.085 0.653
0.500 0.270 0.000
0.827 0.568 0.653
0.500 0.730 0.000
0.173 0.432 0.347
0.173 0.915 0.347
0.000 0.500 0.000
0.332 0.332 0.663
0.660 0.160 0.320
0.668 0.668 0.337
0.340 0.840 0.680
0.000 0.000 0.000
```

Entry from Alexandria via LeMat-Bulk: crystalline Sm2Er6Th at its relaxed geometry (PBE).

Values from the calculation:
The crystal system is trigonal. The density of states at the Fermi level is 1.50 states/eV per atom. Its energy above the most stable polymorph in this dataset is 352 meV per atom. Its energy of formation from the pure elements is 0.420 eV per atom.

Cell and atoms, written as POSCAR:
```
Sm2Er6Th
1.0
6.903 0.000 0.000
3.452 5.978 0.000
3.452 1.993 7.734
Th Sm Er
1 2 6
direct
0.336 0.336 0.992
0.583 0.583 0.252
0.739 0.739 0.782
0.559 0.055 0.329
0.057 0.559 0.329
0.282 0.771 0.663
0.284 0.282 0.663
0.771 0.284 0.663
0.055 0.057 0.329
```

Entry from Alexandria via LeMat-Bulk: crystalline Ta2MnTcN at its relaxed geometry (PBE).

Values from the calculation:
The crystal system is tetragonal. The calculation puts the uncorrected formation energy at -2.15 eV per formula unit. The density of states at the Fermi level is 0.80 states/eV per atom.

Cell and atoms, written as POSCAR:
```
Ta2MnTcN
1.0
4.301 0.000 0.000
0.000 4.301 0.000
0.000 0.000 3.709
Ta Mn Tc N
2 1 1 1
direct
0.500 0.000 0.000
0.000 0.500 0.000
0.000 0.000 0.500
0.500 0.500 0.500
0.000 0.000 0.000
```

Entry from Alexandria via LeMat-Bulk: crystalline CoRe2Rh at its relaxed geometry (PBE).

Values from the calculation:
The crystal system is tetragonal. The density of states at the Fermi level is 1.18 states/eV per atom. Its energy above the most stable polymorph in this dataset is 117 meV per atom. Its energy of formation from the pure elements is 0.027 eV per atom.

Cell and atoms, written as POSCAR:
```
CoRe2Rh
1.0
4.711 -0.005 -0.009
1.746 4.376 0.009
-3.224 -2.192 2.645
Rh Co Re
1 1 2
direct
0.750 0.250 0.500
0.250 0.750 0.500
0.000 0.000 0.000
0.500 0.500 0.000
```

Entry from Alexandria via LeMat-Bulk: crystalline TcGeTe3 at its relaxed geometry (PBE).

Values from the calculation:
The crystal system is cubic. The calculation puts the uncorrected formation energy at 5.56 eV per formula unit. The density of states at the Fermi level is 0.70 states/eV per atom. Its energy above the most stable polymorph in this dataset is 486 meV per atom.

Cell and atoms, written as POSCAR:
```
TcGeTe3
1.0
-4.871 -2.220 0.412
1.899 -4.559 -2.106
1.220 -1.765 4.921
Ge Te Tc
1 3 1
direct
0.000 0.000 0.000
0.500 0.000 0.000
0.000 0.000 0.500
0.000 0.500 0.000
0.500 0.500 0.500
```

Entry from Alexandria via LeMat-Bulk: crystalline SbTeAs2 at its relaxed geometry (PBE).

Values from the calculation:
The crystal system is orthorhombic. The calculation puts the uncorrected formation energy at 1.65 eV per formula unit. The density of states at the Fermi level is 0.63 states/eV per atom. Its energy above the most stable polymorph in this dataset is 342 meV per atom.

Cell and atoms, written as POSCAR:
```
SbTeAs2
1.0
3.218 -0.050 0.000
-1.118 3.018 0.000
0.000 0.000 9.753
As Te Sb
2 1 1
direct
0.000 0.000 0.494
0.000 0.000 0.006
0.500 0.500 0.750
0.500 0.500 0.250
```

Entry from Alexandria via LeMat-Bulk: crystalline SmTmCdCo at its relaxed geometry (PBE).

Values from the calculation:
The crystal system is cubic. The density of states at the Fermi level is 0.61 states/eV per atom. Its energy above the most stable polymorph in this dataset is 114 meV per atom. Its energy of formation from the pure elements is -0.119 eV per atom.

Cell and atoms, written as POSCAR:
```
SmTmCdCo
1.0
5.054 0.000 0.000
2.527 4.377 0.000
2.527 1.459 4.127
Sm Cd Tm Co
1 1 1 1
direct
0.000 0.000 0.000
0.750 0.750 0.750
0.500 0.500 0.500
0.250 0.250 0.250
```

Entry from Alexandria via LeMat-Bulk: crystalline ZrPd3 at its relaxed geometry (PBE).

Values from the calculation:
The crystal system is cubic. The density of states at the Fermi level is 0.44 states/eV per atom. Its energy of formation from the pure elements is -0.600 eV per atom.

Cell and atoms, written as POSCAR:
```
ZrPd3
1.0
4.569 0.000 0.000
2.284 3.957 0.000
2.284 1.319 3.730
Pd Zr
3 1
direct
0.250 0.250 0.250
0.000 0.000 0.000
0.750 0.750 0.750
0.500 0.500 0.500
```

Entry from Alexandria via LeMat-Bulk: crystalline KLiC4N6 at its relaxed geometry (PBE).

Values from the calculation:
The crystal system is tetragonal. The calculation puts the uncorrected formation energy at -1.22 eV per formula unit. The density of states at the Fermi level is 0.00 states/eV per atom.

Cell and atoms, written as POSCAR:
```
KLiC4N6
1.0
-3.621 3.621 7.215
3.621 -3.621 7.215
3.621 3.621 -7.215
C N K Li
8 12 2 2
direct
0.112 0.612 0.885
0.888 0.388 0.115
0.228 0.112 0.500
0.272 0.772 0.885
0.612 0.728 0.500
0.772 0.888 0.500
0.728 0.228 0.115
0.388 0.272 0.500
0.312 0.812 0.808
0.496 0.688 0.500
0.504 0.312 0.500
0.248 0.748 0.996
0.812 0.004 0.500
0.188 0.996 0.500
0.996 0.496 0.808
0.688 0.188 0.192
0.752 0.252 0.004
0.748 0.752 0.500
0.252 0.248 0.500
0.004 0.504 0.192
0.250 0.250 0.000
0.750 0.750 0.000
0.250 0.750 0.500
0.750 0.250 0.500
```

Entry from Alexandria via LeMat-Bulk: crystalline Li2FeAs at its relaxed geometry (PBE).

Values from the calculation:
The crystal system is tetragonal. The density of states at the Fermi level is 0.73 states/eV per atom. Its energy of formation from the pure elements is -0.124 eV per atom.

Cell and atoms, written as POSCAR:
```
Li2FeAs
1.0
4.895 -0.074 0.000
2.282 4.331 0.000
-3.588 -2.128 2.561
As Li Fe
1 2 1
direct
0.250 0.750 0.500
0.500 0.500 0.000
0.000 0.000 0.000
0.750 0.250 0.500
```

Entry from Alexandria via LeMat-Bulk: crystalline GaNi2Mo at its relaxed geometry (PBE).

Values from the calculation:
The crystal system is trigonal. The density of states at the Fermi level is 0.94 states/eV per atom. Its energy of formation from the pure elements is -0.050 eV per atom.

Cell and atoms, written as POSCAR:
```
GaNi2Mo
1.0
2.716 0.000 0.000
1.358 2.352 0.000
1.358 0.784 8.231
Ni Mo Ga
2 1 1
direct
0.087 0.087 0.739
0.246 0.246 0.261
0.667 0.667 0.000
0.500 0.500 0.500
```

Entry from Alexandria via LeMat-Bulk: crystalline Li2Ce3Te6 at its relaxed geometry (PBE).

Values from the calculation:
The crystal system is monoclinic. The calculation puts the uncorrected formation energy at -13.39 eV per formula unit. The density of states at the Fermi level is 1.32 states/eV per atom.

Cell and atoms, written as POSCAR:
```
Li2Ce3Te6
1.0
7.463 0.000 2.214
3.731 6.743 1.107
0.488 0.000 7.419
Te Ce Li
6 3 2
direct
0.418 0.663 0.745
0.081 0.337 0.745
0.582 0.337 0.255
0.755 0.000 0.742
0.919 0.663 0.255
0.245 0.000 0.258
0.335 0.330 0.000
0.665 0.670 0.000
0.000 0.000 0.000
0.168 0.664 0.500
0.832 0.336 0.500
```

Entry from Alexandria via LeMat-Bulk: crystalline Hg3Se2F2 at its relaxed geometry (PBE).

Values from the calculation:
The crystal system is cubic. The calculation puts the uncorrected formation energy at -5.53 eV per formula unit. Its energy above the most stable polymorph in this dataset is 0 meV per atom.

Cell and atoms, written as POSCAR:
```
Hg3Se2F2
1.0
-4.892 3.846 4.217
3.810 -4.811 4.341
4.802 4.780 -3.256
F Se Hg
4 4 6
direct
0.000 0.000 0.500
0.500 0.500 0.500
0.500 0.000 0.000
0.000 0.500 0.000
0.574 0.500 0.000
0.926 0.926 0.926
0.500 0.000 0.574
0.000 0.574 0.500
0.750 0.340 0.590
0.250 0.160 0.910
0.160 0.910 0.250
0.590 0.750 0.340
0.340 0.590 0.750
0.910 0.250 0.160
```

Entry from Alexandria via LeMat-Bulk: crystalline BaSr2GeRu at its relaxed geometry (PBE).

Values from the calculation:
The crystal system is tetragonal. The density of states at the Fermi level is 1.03 states/eV per atom. Its energy of formation from the pure elements is 1.173 eV per atom.

Cell and atoms, written as POSCAR:
```
BaSr2GeRu
1.0
-0.373 -4.296 -4.742
2.416 -3.287 2.788
-5.579 -2.108 2.349
Ba Sr Ge Ru
1 2 1 1
direct
0.000 0.000 0.000
0.000 0.000 0.500
0.500 0.000 0.000
0.500 0.500 0.500
0.000 0.500 0.000
```

Entry from Alexandria via LeMat-Bulk: crystalline Sm2Ga3CuPt4 at its relaxed geometry (PBE).

Values from the calculation:
The crystal system is tetragonal. The density of states at the Fermi level is 0.62 states/eV per atom. Its energy of formation from the pure elements is -0.880 eV per atom.

Cell and atoms, written as POSCAR:
```
Sm2Ga3CuPt4
1.0
-1.508 3.791 -0.475
-2.521 -1.371 -2.939
-7.789 -2.137 7.680
Pt Cu Sm Ga
4 1 2 3
direct
0.000 0.000 0.000
0.500 0.500 0.000
0.500 0.000 0.642
0.000 0.500 0.358
0.500 0.500 0.500
0.500 0.000 0.255
0.000 0.500 0.745
0.000 0.500 0.134
0.500 0.000 0.866
0.000 0.000 0.500
```

Entry from Alexandria via LeMat-Bulk: crystalline AlBiS3 at its relaxed geometry (PBE).

Values from the calculation:
The crystal system is cubic. The calculation puts the uncorrected formation energy at 2.64 eV per formula unit. The density of states at the Fermi level is 1.26 states/eV per atom. Its energy above the most stable polymorph in this dataset is 1230 meV per atom.

Cell and atoms, written as POSCAR:
```
AlBiS3
1.0
-4.992 -0.361 1.444
1.002 -4.551 2.327
1.100 2.508 4.431
S Bi Al
3 1 1
direct
0.000 0.500 0.000
0.500 0.000 0.000
0.000 0.000 0.500
0.000 0.000 0.000
0.500 0.500 0.500
```

Entry from Alexandria via LeMat-Bulk: crystalline La3Nd3Si4 at its relaxed geometry (PBE).

Values from the calculation:
The crystal system is orthorhombic. The calculation puts the uncorrected formation energy at -6.23 eV per formula unit. The density of states at the Fermi level is 1.00 states/eV per atom.

Cell and atoms, written as POSCAR:
```
La3Nd3Si4
1.0
-1.126 0.883 4.108
-7.199 -2.845 -1.362
2.638 -7.057 2.239
Nd Si La
3 4 3
direct
0.500 0.820 0.180
0.500 0.328 0.318
0.500 0.682 0.672
0.000 0.401 0.599
0.000 0.881 0.897
0.000 0.103 0.119
0.000 0.618 0.382
0.500 0.170 0.830
0.000 0.012 0.514
0.000 0.486 0.988
```

Entry from Alexandria via LeMat-Bulk: crystalline LiIO3 at its relaxed geometry (PBE).

Values from the calculation:
The crystal system is monoclinic. The calculation puts the uncorrected formation energy at -4.65 eV per formula unit. The density of states at the Fermi level is 0.00 states/eV per atom.

Cell and atoms, written as POSCAR:
```
LiIO3
1.0
5.540 0.000 0.000
0.000 6.701 -4.343
0.000 -0.652 8.726
O I Li
12 4 4
direct
0.071 0.016 0.347
0.429 0.016 0.847
0.141 0.358 0.849
0.080 0.798 0.954
0.920 0.202 0.046
0.929 0.984 0.653
0.359 0.358 0.349
0.859 0.642 0.151
0.571 0.984 0.153
0.420 0.798 0.454
0.580 0.202 0.546
0.641 0.642 0.651
0.642 0.250 0.371
0.358 0.750 0.629
0.858 0.250 0.871
0.142 0.750 0.129
0.240 0.109 0.080
0.760 0.891 0.920
0.740 0.891 0.420
0.260 0.109 0.580
```

Entry from Alexandria via LeMat-Bulk: crystalline Sm6SnGe2S3 at its relaxed geometry (PBE).

Values from the calculation:
The crystal system is monoclinic. The calculation puts the uncorrected formation energy at -16.82 eV per formula unit. The density of states at the Fermi level is 0.33 states/eV per atom.

Cell and atoms, written as POSCAR:
```
Sm6SnGe2S3
1.0
-3.978 0.287 -1.173
-2.331 -4.292 6.857
1.813 8.569 3.314
Sm Ge S Sn
6 2 3 1
direct
0.999 0.266 0.999
0.332 0.417 0.664
0.001 0.734 0.001
0.668 0.583 0.336
0.672 0.087 0.345
0.328 0.913 0.655
0.834 0.667 0.668
0.166 0.333 0.332
0.833 0.168 0.667
0.167 0.832 0.333
0.500 0.500 0.000
0.500 0.000 0.000
```

Entry from Alexandria via LeMat-Bulk: crystalline LiYGa6 at its relaxed geometry (PBE).

Values from the calculation:
The crystal system is tetragonal. The density of states at the Fermi level is 0.52 states/eV per atom. Its energy of formation from the pure elements is -0.332 eV per atom.

Cell and atoms, written as POSCAR:
```
LiYGa6
1.0
-3.540 -1.053 2.047
1.928 -3.409 1.581
2.441 4.383 6.475
Ga Y Li
6 1 1
direct
0.500 0.500 0.000
0.000 0.500 0.730
0.500 0.000 0.730
0.000 0.500 0.270
0.500 0.000 0.270
0.500 0.500 0.500
0.000 0.000 0.000
0.000 0.000 0.500
```

Entry from Alexandria via LeMat-Bulk: crystalline PmTmCdGa at its relaxed geometry (PBE).

Values from the calculation:
The crystal system is tetragonal. The density of states at the Fermi level is 0.60 states/eV per atom. Its energy above the most stable polymorph in this dataset is 0 meV per atom. Its energy of formation from the pure elements is -0.451 eV per atom.

Cell and atoms, written as POSCAR:
```
PmTmCdGa
1.0
3.636 0.000 0.000
0.000 3.636 0.000
0.000 0.000 7.533
Pm Ga Tm Cd
1 1 1 1
direct
0.000 0.000 0.840
0.500 0.500 0.592
0.000 0.000 0.372
0.500 0.500 0.124
```

Entry from Alexandria via LeMat-Bulk: crystalline YMn2Os at its relaxed geometry (PBE).

Values from the calculation:
The crystal system is tetragonal. The density of states at the Fermi level is 1.61 states/eV per atom. Its energy above the most stable polymorph in this dataset is 338 meV per atom. Its energy of formation from the pure elements is 0.490 eV per atom.

Cell and atoms, written as POSCAR:
```
YMn2Os
1.0
7.334 0.000 0.000
0.000 7.334 0.000
3.667 3.667 2.822
Mn Os Y
4 2 2
direct
0.875 0.935 0.750
0.685 0.125 0.250
0.375 0.315 0.750
0.065 0.625 0.250
0.000 0.000 0.000
0.750 0.250 0.500
0.250 0.750 0.500
0.500 0.500 0.000
```

Entry from Alexandria via LeMat-Bulk: crystalline CoSbPt at its relaxed geometry (PBE).

Values from the calculation:
The crystal system is trigonal. The calculation puts the uncorrected formation energy at 0.19 eV per formula unit. The density of states at the Fermi level is 0.69 states/eV per atom.

Cell and atoms, written as POSCAR:
```
CoSbPt
1.0
-1.162 3.680 1.584
1.679 -2.903 2.482
2.986 1.205 -0.610
Co Pt Sb
1 1 1
direct
0.000 0.000 0.901
0.667 0.333 0.355
0.333 0.667 0.744
```

Entry from Alexandria via LeMat-Bulk: crystalline Zr2NiTeMo at its relaxed geometry (PBE).

Values from the calculation:
The crystal system is tetragonal. The calculation puts the uncorrected formation energy at 3.10 eV per formula unit. The density of states at the Fermi level is 0.92 states/eV per atom.

Cell and atoms, written as POSCAR:
```
Zr2NiTeMo
1.0
-1.437 4.437 1.348
-1.644 0.728 -4.150
-4.289 -1.809 1.381
Zr Ni Mo Te
2 1 1 1
direct
0.000 0.000 0.500
0.500 0.000 0.000
0.000 0.000 0.000
0.500 0.500 0.500
0.000 0.500 0.000
```

Entry from Alexandria via LeMat-Bulk: crystalline V3SiPt at its relaxed geometry (PBE).

Values from the calculation:
The crystal system is cubic. The calculation puts the uncorrected formation energy at 2.90 eV per formula unit. The density of states at the Fermi level is 1.11 states/eV per atom. Its energy above the most stable polymorph in this dataset is 1002 meV per atom.

Cell and atoms, written as POSCAR:
```
V3SiPt
1.0
-1.507 3.191 -2.501
1.945 -1.772 -3.433
-3.557 -2.320 -0.818
Si Pt V
1 1 3
direct
0.000 0.000 0.000
0.500 0.500 0.500
0.000 0.500 0.000
0.000 0.000 0.500
0.500 0.000 0.000
```